First-principles (GGA+U) data for a relaxed structure of Np2Ni5O12, as listed in the Alexandria database.

Cell: 5.6052 6.6098 7.1236 Å, 96.89 90.45 113.16°
Last column: nearest neighbours and their distance in Å.
Atoms (fractional coordinates):
Np  0.2443  0.2563  0.0215  2 O 1.86
Np  0.7557  0.7437  0.9785  2 O 1.86
Ni  0.0000  0.0000  0.5000  2 O 1.97
Ni  0.2232  0.5990  0.6353  5 O 1.97-2.17
Ni  0.3469  0.8644  0.3290  5 O 1.96-2.20
Ni  0.6531  0.1356  0.6710  5 O 1.96-2.20
Ni  0.7768  0.4010  0.3647  5 O 1.97-2.17
O  0.0373  0.7139  0.4683  4 Ni 1.97-2.05
O  0.0600  0.3967  0.1607  1 Np 1.86
O  0.0783  0.9510  0.1613  2 Np 2.10-2.22, 1 Ni 2.20
O  0.4028  0.5195  0.8413  1 Ni 2.01, 2 Np 2.09-2.19
O  0.4228  0.1108  0.8813  1 Np 1.86, 1 Ni 1.96
O  0.4314  0.1737  0.4665  3 Ni 2.01-2.13
O  0.5686  0.8263  0.5335  3 Ni 2.01-2.13
O  0.5772  0.8892  0.1187  1 Np 1.86, 1 Ni 1.96
O  0.5972  0.4805  0.1587  1 Ni 2.01, 2 Np 2.09-2.19
O  0.9217  0.0490  0.8387  2 Np 2.10-2.22, 1 Ni 2.20
O  0.9400  0.6033  0.8393  1 Np 1.86
O  0.9627  0.2861  0.5317  4 Ni 1.97-2.05

## Properties
For the total energy, the calculation gives -6.73 eV per atom. The space-group type is P-1. For the total magnetization, the calculation gives 10.0 μB/cell.